No. 1
Here is crystalline BaScPCl2 at its relaxed geometry from Alexandria. Energies are from PBE.

formation energy from raw total energies = -1.672 eV per atom
distance to the lowest polymorph of the same formula = 0.000 kcal/mol of atoms
total energy = -25.72 eV per formula unit
spin magnetization = 0.00 μB/cell

Cell: 5.0530 5.0530 5.1836 Å, 90.00 90.00 90.00°
Closest atoms and distances in Å follow each position.
Space group P4/mmm (No. 123)
Asymmetric unit:
Ba1 0.0000 0.0000 0.0000 (multiplicity 1)  4 P 3.57, 8 Cl 3.62
Sc1 0.5000 0.5000 0.5000 (multiplicity 1)  4 Cl 2.53, 2 P 2.59
P1 0.5000 0.5000 0.0000 (multiplicity 1)  2 Sc 2.59
Cl1 0.0000 0.5000 0.5000 (multiplicity 2)  2 Sc 2.53

---

No. 2
Here is crystalline BaScP2Cl at its relaxed geometry from Alexandria. Energies are from PBE.

formation energy from raw total energies = -0.589 eV per atom
distance to the lowest polymorph of the same formula = 12.320 kcal/mol of atoms
total energy = -23.87 eV per formula unit
spin magnetization = 0.00 μB/cell

Cell: 4.8113 4.8113 7.0874 Å, 90.00 90.00 90.00°
Closest atoms and distances in Å follow each position.
Space group P4/mmm (No. 123)
Asymmetric unit:
Ba1 0.0000 0.0000 0.0000 (multiplicity 1)  4 Cl 3.40, 2 Sc 3.54
Sc1 0.0000 0.0000 0.5000 (multiplicity 1)  4 P 2.41
P1 0.0000 0.5000 0.5000 (multiplicity 2)  2 Sc 2.41
Cl1 0.5000 0.5000 0.0000 (multiplicity 1)  4 Ba 3.40

---

No. 3
Here is crystalline BaScP2Cl at its relaxed geometry from Alexandria. Energies are from PBE.

formation energy from raw total energies = 0.440 eV per atom
distance to the lowest polymorph of the same formula = 36.047 kcal/mol of atoms
total energy = -18.72 eV per formula unit
spin magnetization = 0.03 μB/cell

Cell: 5.5493 5.5493 5.5126 Å, 90.00 90.00 90.00°
Closest atoms and distances in Å follow each position.
Space group P4/mmm (No. 123)
Asymmetric unit:
Ba1 0.0000 0.0000 0.0000 (multiplicity 1)  2 Cl 2.76, 4 P 2.77
Sc1 0.5000 0.5000 0.5000 (multiplicity 1)  8 P 3.91, 4 Cl 3.92
P1 0.0000 0.5000 0.0000 (multiplicity 2)  2 Ba 2.77
Cl1 0.0000 0.0000 0.5000 (multiplicity 1)  2 Ba 2.76

---

No. 4
Here is crystalline Ba6P2Se3Cl at its relaxed geometry from Alexandria. Energies are from PBE.

formation energy from raw total energies = -1.661 eV per atom
total energy = -54.58 eV per formula unit
spin magnetization = 2.15 μB/cell

Cell: 20.5659 4.6258 9.5320 Å, 90.00 103.43 90.00°
Closest atoms and distances in Å follow each position.
Space group C2/m (No. 12)
Asymmetric unit:
Ba1 0.0035 0.0000 0.2621 (multiplicity 4)  1 P 3.20, 3 Se 3.25-3.32, 2 Cl 3.39
Ba2 0.1702 0.5000 0.5809 (multiplicity 4)  3 P 3.32-3.33, 3 Se 3.38-3.40
Ba3 0.1719 0.5000 0.0911 (multiplicity 4)  2 P 3.26, 3 Se 3.32-3.33, 1 Cl 3.44
P1 0.1632 0.0000 0.3275 (multiplicity 4)  6 Ba 3.20-3.33
Se1 0.0000 0.5000 0.5000 (multiplicity 2)  6 Ba 3.25-3.40
Se2 0.1621 0.0000 0.8355 (multiplicity 4)  6 Ba 3.32-3.38
Cl1 0.0000 0.5000 0.0000 (multiplicity 2)  6 Ba 3.39-3.44

---

No. 5
Here is crystalline BaP2SeCl at its relaxed geometry from Alexandria. Energies are from PBE.

formation energy from raw total energies = -0.284 eV per atom
distance to the lowest polymorph of the same formula = 0.000 kcal/mol of atoms
total energy = -19.49 eV per formula unit
spin magnetization = 0.00 μB/cell

Cell: 4.7410 4.7410 6.2696 Å, 90.00 90.00 90.00°
Closest atoms and distances in Å follow each position.
Space group P4/mmm (No. 123)
Asymmetric unit:
Ba1 0.0000 0.0000 0.0000 (multiplicity 1)  4 Cl 3.35
P1 0.0000 0.5000 0.5000 (multiplicity 2)  2 Se 2.37
Se1 0.5000 0.5000 0.5000 (multiplicity 1)  4 P 2.37
Cl1 0.5000 0.5000 0.0000 (multiplicity 1)  2 Se 3.13, 4 Ba 3.35

---

No. 6
Here is crystalline BaP2SeCl at its relaxed geometry from Alexandria. Energies are from PBE.

formation energy from raw total energies = 0.775 eV per atom
distance to the lowest polymorph of the same formula = 24.408 kcal/mol of atoms
total energy = -14.20 eV per formula unit
spin magnetization = 7.01 μB/cell

Cell: 6.5779 6.5779 5.9499 Å, 90.00 90.00 90.00°
Closest atoms and distances in Å follow each position.
Space group P4/mmm (No. 123)
Asymmetric unit:
Ba1 0.0000 0.0000 0.0000 (multiplicity 1)  2 Cl 2.97, 4 P 3.29
P1 0.0000 0.5000 0.0000 (multiplicity 2)  2 Ba 3.29
Se1 0.5000 0.5000 0.5000 (multiplicity 1)  8 P 4.43, 4 Cl 4.65
Cl1 0.0000 0.0000 0.5000 (multiplicity 1)  2 Ba 2.97

---

No. 7
Here is crystalline BaSiP2Cl at its relaxed geometry from Alexandria. Energies are from PBE.

formation energy from raw total energies = -0.556 eV per atom
distance to the lowest polymorph of the same formula = 0.000 kcal/mol of atoms
total energy = -22.79 eV per formula unit
spin magnetization = 0.00 μB/cell

Cell: 4.5761 4.5761 5.6685 Å, 90.00 90.00 90.00°
Closest atoms and distances in Å follow each position.
Space group P4/mmm (No. 123)
Asymmetric unit:
Ba1 0.0000 0.0000 0.0000 (multiplicity 1)  4 Cl 3.24
Si1 0.5000 0.5000 0.5000 (multiplicity 1)  4 P 2.29
P1 0.0000 0.5000 0.5000 (multiplicity 2)  2 Si 2.29
Cl1 0.5000 0.5000 0.0000 (multiplicity 1)  2 Si 2.83

---

No. 8
Here is crystalline BaSiPCl2 at its relaxed geometry from Alexandria. Energies are from PBE.

formation energy from raw total energies = 0.088 eV per atom
distance to the lowest polymorph of the same formula = 22.520 kcal/mol of atoms
total energy = -16.01 eV per formula unit
spin magnetization = 1.00 μB/cell

Cell: 5.8208 5.8208 6.5564 Å, 90.00 90.00 90.00°
Closest atoms and distances in Å follow each position.
Space group P4/mmm (No. 123)
Asymmetric unit:
Ba1 0.0000 0.0000 0.0000 (multiplicity 1)  4 Cl 2.91
Si1 0.5000 0.5000 0.5000 (multiplicity 1)  4 P 4.12, 8 Cl 4.38
P1 0.0000 0.0000 0.5000 (multiplicity 1)  2 Ba 3.28
Cl1 0.0000 0.5000 0.0000 (multiplicity 2)  2 Ba 2.91

---

No. 9
Here is crystalline BaSiP2Cl at its relaxed geometry from Alexandria. Energies are from PBE.

formation energy from raw total energies = 0.997 eV per atom
distance to the lowest polymorph of the same formula = 35.812 kcal/mol of atoms
total energy = -15.03 eV per formula unit
spin magnetization = 3.03 μB/cell

Cell: 6.2742 6.2742 5.7397 Å, 90.00 90.00 90.00°
Closest atoms and distances in Å follow each position.
Space group P4/mmm (No. 123)
Asymmetric unit:
Ba1 0.0000 0.0000 0.0000 (multiplicity 1)  2 Cl 2.87, 4 P 3.14
Si1 0.5000 0.5000 0.5000 (multiplicity 1)  8 P 4.25, 4 Cl 4.44
P1 0.0000 0.5000 0.0000 (multiplicity 2)  2 Ba 3.14
Cl1 0.0000 0.0000 0.5000 (multiplicity 1)  2 Ba 2.87

---

No. 10
Here is crystalline BaSiPCl2 at its relaxed geometry from Alexandria. Energies are from PBE.

formation energy from raw total energies = -0.889 eV per atom
distance to the lowest polymorph of the same formula = 0.000 kcal/mol of atoms
total energy = -20.89 eV per formula unit
spin magnetization = 0.00 μB/cell

Cell: 5.1905 5.1905 4.6312 Å, 90.00 90.00 90.00°
Closest atoms and distances in Å follow each position.
Space group P4/mmm (No. 123)
Asymmetric unit:
Ba1 0.0000 0.0000 0.0000 (multiplicity 1)  8 Cl 3.48, 4 P 3.67
Si1 0.5000 0.5000 0.5000 (multiplicity 1)  2 P 2.32
P1 0.5000 0.5000 0.0000 (multiplicity 1)  2 Si 2.32
Cl1 0.0000 0.5000 0.5000 (multiplicity 2)  2 Si 2.60

---

No. 11
Here is crystalline Ba6SiP2Cl3 at its relaxed geometry from Alexandria. Energies are from PBE.

formation energy from raw total energies = -1.435 eV per atom
total energy = -50.54 eV per formula unit
spin magnetization = 2.14 μB/cell

Cell: 8.0310 14.2659 8.2335 Å, 90.00 109.28 90.00°
Closest atoms and distances in Å follow each position.
Space group C2/m (No. 12)
Asymmetric unit:
Ba1 0.2351 0.0000 0.2302 (multiplicity 4)  2 P 3.20, 1 Si 3.28, 3 Cl 3.36-3.49
Ba2 0.2419 0.3276 0.2236 (multiplicity 8)  2 P 3.20-3.21, 1 Si 3.29, 3 Cl 3.38-3.52
Si1 0.0000 0.5000 0.0000 (multiplicity 2)  6 Ba 3.28-3.29
P1 0.0000 0.1633 0.0000 (multiplicity 4)  6 Ba 3.20-3.21
Cl1 0.0000 0.0000 0.5000 (multiplicity 2)  6 Ba 3.36-3.52
Cl2 0.0000 0.3303 0.5000 (multiplicity 4)  6 Ba 3.38-3.49

---

No. 12
Here is crystalline BaSrP2Cl at its relaxed geometry from Alexandria. Energies are from PBE.

formation energy from raw total energies = -0.294 eV per atom
distance to the lowest polymorph of the same formula = 6.087 kcal/mol of atoms
total energy = -17.74 eV per formula unit
spin magnetization = 0.00 μB/cell

Cell: 5.5568 5.5568 5.7825 Å, 90.00 90.00 90.00°
Closest atoms and distances in Å follow each position.
Space group P4/mmm (No. 123)
Asymmetric unit:
Ba1 0.0000 0.0000 0.0000 (multiplicity 1)  4 P 2.78, 2 Cl 2.89
Sr1 0.5000 0.5000 0.5000 (multiplicity 1)  4 Cl 3.93, 8 P 4.01
P1 0.0000 0.5000 0.0000 (multiplicity 2)  2 Ba 2.78
Cl1 0.0000 0.0000 0.5000 (multiplicity 1)  2 Ba 2.89

---

No. 13
Here is crystalline BaSrP2Cl at its relaxed geometry from Alexandria. Energies are from PBE.

formation energy from raw total energies = -0.558 eV per atom
distance to the lowest polymorph of the same formula = 0.000 kcal/mol of atoms
total energy = -19.06 eV per formula unit
spin magnetization = 0.16 μB/cell

Cell: 5.4903 5.4903 5.5782 Å, 90.00 90.00 90.00°
Closest atoms and distances in Å follow each position.
Space group P4/mmm (No. 123)
Asymmetric unit:
Ba1 0.0000 0.0000 0.0000 (multiplicity 1)  4 Cl 3.88, 8 P 3.91
Sr1 0.5000 0.5000 0.5000 (multiplicity 1)  4 P 2.75, 2 Cl 2.79
P1 0.0000 0.5000 0.5000 (multiplicity 2)  2 Sr 2.75
Cl1 0.5000 0.5000 0.0000 (multiplicity 1)  2 Sr 2.79